A plane-wave DFT calculation with PBE was carried out for a relaxed Ac3Pd5Se12 crystal.

As for the total magnetic moment: 0.00 μB per formula unit. The formation energy without anion corrections is -0.771 eV/atom.

The structure belongs to space group Ia-3d (No. 230); the cell edges are 16.248, 16.248 and 16.248 Å and the angles 90.00°, 90.00° and 90.00°. Symmetry generates all atoms from Ac at (0.000, 0.250, 0.125), Pd at (0.000, 0.000, 0.000), Pd at (0.000, 0.250, 0.375) and Se at (0.029, 0.055, 0.645).

=====

A plane-wave DFT calculation with PBE was carried out for a relaxed AcPdSe3 crystal.

As for the total magnetic moment: 0.00 μB per formula unit. The formation energy without anion corrections is -0.966 eV/atom.

The structure belongs to space group Pm-3m (No. 221); the cell edges are 5.002, 5.002 and 5.002 Å and the angles 90.00°, 90.00° and 90.00°. Symmetry generates all atoms from Ac at (0.000, 0.000, 0.000), Pd at (0.500, 0.500, 0.500) and Se at (0.000, 0.500, 0.500).

=====

A plane-wave DFT calculation with PBE was carried out for a relaxed AcPdSe2 crystal.

As for the total magnetic moment: 0.00 μB per formula unit. The formation energy without anion corrections is -1.160 eV/atom.

The structure belongs to space group C2 (No. 5); the cell edges are 6.006, 5.999 and 6.370 Å and the angles 90.00°, 118.04° and 90.00°. Symmetry generates all atoms from Ac at (0.000, 0.000, 0.000), Pd at (0.000, 0.750, 0.500) and Se at (0.133, 0.500, 0.266).

=====

A plane-wave DFT calculation with PBE was carried out for a relaxed AcPdSe crystal.

As for the total magnetic moment: 0.00 μB per formula unit. The formation energy without anion corrections is -1.230 eV/atom.

The structure belongs to space group P-6m2 (No. 187); the cell edges are 4.5403, 4.5403 and 4.1409 Å and the angles 90.00°, 90.00° and 120.00°. Symmetry generates all atoms from Ac at (0.0000, 0.0000, 0.0000), Pd at (0.3333, 0.6667, 0.5000) and Se at (0.6667, 0.3333, 0.5000).

=====

A plane-wave DFT calculation with PBE was carried out for a relaxed AcSmPdSe3 crystal.

As for the total magnetic moment: 0.00 μB per formula unit. The formation energy without anion corrections is -1.631 eV/atom.

The structure belongs to space group P2_1/m (No. 11); the cell edges are 8.442, 4.183 and 9.313 Å and the angles 90.00°, 103.33° and 90.00°. Symmetry generates all atoms from Ac at (0.186, 0.250, 0.258), Sm at (0.319, 0.750, 0.823), Pd at (0.093, 0.250, 0.598), Se at (0.093, 0.250, 0.876), Se at (0.250, 0.750, 0.511) and Se at (0.425, 0.750, 0.156).

=====

A plane-wave DFT calculation with PBE was carried out for a relaxed AcTbPdSe3 crystal.

As for the total magnetic moment: 0.00 μB per formula unit. The formation energy without anion corrections is -1.634 eV/atom.

The structure belongs to space group P2_1/m (No. 11); the cell edges are 8.286, 4.156 and 9.321 Å and the angles 90.00°, 103.84° and 90.00°. Symmetry generates all atoms from Ac at (0.192, 0.250, 0.263), Tb at (0.317, 0.750, 0.825), Pd at (0.092, 0.250, 0.600), Se at (0.092, 0.250, 0.876), Se at (0.260, 0.750, 0.518) and Se at (0.428, 0.750, 0.153).

=====

A plane-wave DFT calculation with PBE was carried out for a relaxed AcTePdSe crystal.

As for the total magnetic moment: 0.00 μB per formula unit. The formation energy without anion corrections is -1.139 eV/atom.

The structure belongs to space group R-3m (No. 166, hexagonal axes); the cell edges are 4.7436, 4.7436 and 36.2972 Å and the angles 90.00°, 90.00° and 120.00°. Symmetry generates all atoms from Ac at (0.0000, 0.0000, 0.1032), Te at (0.0000, 0.0000, 0.2939), Pd at (0.0000, 0.0000, 0.3702) and Se at (0.0000, 0.0000, 0.1958).

=====

A plane-wave DFT calculation with PBE was carried out for a relaxed Ac4Te2PdSe crystal.

As for the total magnetic moment: 0.00 μB per formula unit. The formation energy without anion corrections is -1.399 eV/atom.

The structure belongs to space group P2/m (No. 10); the cell edges are 8.045, 4.485 and 8.201 Å and the angles 90.00°, 108.84° and 90.00°. Symmetry generates all atoms from Ac at (0.228, 0.000, 0.218), Ac at (0.256, 0.500, 0.769), Te at (0.000, 0.000, 0.500), Te at (0.500, 0.500, 0.500), Pd at (0.000, 0.500, 0.000) and Se at (0.500, 0.000, 0.000).

=====

A plane-wave DFT calculation with PBE was carried out for a relaxed Ac4TePdSe2 crystal.

As for the total magnetic moment: 0.00 μB per formula unit. The formation energy without anion corrections is -1.460 eV/atom.

The structure belongs to space group P2/m (No. 10); the cell edges are 7.918, 4.456 and 8.031 Å and the angles 90.00°, 109.00° and 90.00°. Symmetry generates all atoms from Ac at (0.237, 0.000, 0.238), Ac at (0.259, 0.500, 0.770), Te at (0.500, 0.500, 0.500), Pd at (0.500, 0.000, 0.000), Se at (0.000, 0.000, 0.500) and Se at (0.000, 0.500, 0.000).

=====

A plane-wave DFT calculation with PBE was carried out for a relaxed AcUPdSe4 crystal.

As for the total magnetic moment: 2.20 μB per formula unit. The formation energy without anion corrections is -1.193 eV/atom.

The structure belongs to space group P2_1/m (No. 11); the cell edges are 7.301, 5.890 and 8.671 Å and the angles 90.00°, 110.27° and 90.00°. Symmetry generates all atoms from Ac at (0.248, 0.250, 0.435), U at (0.227, 0.250, 0.940), Pd at (0.268, 0.750, 0.224), Se at (0.052, 0.750, 0.389), Se at (0.075, 0.750, 0.910) and Se at (0.463, 0.514, 0.774).

=====

A plane-wave DFT calculation with PBE was carried out for a relaxed AcU2PdSe5 crystal.

As for the total magnetic moment: 1.06 μB per formula unit. The formation energy without anion corrections is -1.198 eV/atom.

The structure belongs to space group I4/mcm (No. 140); the cell edges are 7.733, 7.733 and 13.882 Å and the angles 90.00°, 90.00° and 90.00°. Symmetry generates all atoms from Ac at (0.000, 0.000, 0.250), U at (0.112, 0.388, 0.000), Pd at (0.000, 0.500, 0.250), Se at (0.000, 0.000, 0.000) and Se at (0.178, 0.322, 0.365).

=====

A plane-wave DFT calculation with PBE was carried out for a relaxed AcYPdSe3 crystal.

As for the total magnetic moment: 0.00 μB per formula unit. The formation energy without anion corrections is -1.635 eV/atom.

The structure belongs to space group P2_1/m (No. 11); the cell edges are 8.256, 4.154 and 9.320 Å and the angles 90.00°, 103.79° and 90.00°. Symmetry generates all atoms from Ac at (0.193, 0.250, 0.265), Y at (0.317, 0.750, 0.825), Pd at (0.091, 0.250, 0.600), Se at (0.092, 0.250, 0.876), Se at (0.262, 0.750, 0.519) and Se at (0.428, 0.750, 0.152).

=====

A plane-wave DFT calculation with PBE was carried out for a relaxed Ac2ZrPdSe5 crystal.

As for the total magnetic moment: 0.00 μB per formula unit. The formation energy without anion corrections is -1.570 eV/atom.

The structure belongs to space group Cmc2_1 (No. 36); the cell edges are 4.150, 18.178 and 12.399 Å and the angles 90.00°, 90.00° and 90.00°. Symmetry generates all atoms from Ac at (0.000, 0.115, 0.000), Ac at (0.000, 0.122, 0.621), Zr at (0.000, 0.183, 0.315), Pd at (0.000, 0.422, 0.744), Se at (0.000, 0.044, 0.358), Se at (0.000, 0.293, 0.967), Se at (0.000, 0.297, 0.662), Se at (0.000, 0.345, 0.313) and Se at (0.000, 0.498, 0.074).

=====

A plane-wave DFT calculation with PBE was carried out for a relaxed AcSi3Pd3 crystal.

As for the total magnetic moment: 0.00 μB per formula unit. The formation energy without anion corrections is -0.454 eV/atom.

The structure belongs to space group P2_1/m (No. 11); the cell edges are 8.727, 4.418 and 8.728 Å and the angles 90.00°, 120.00° and 90.00°. Symmetry generates all atoms from Ac at (0.167, 0.250, 0.334), Si at (0.133, 0.250, 0.907), Si at (0.227, 0.750, 0.634), Si at (0.406, 0.750, 0.273), Pd at (0.266, 0.750, 0.936), Pd at (0.330, 0.250, 0.766) and Pd at (0.436, 0.250, 0.170).

=====

A plane-wave DFT calculation with PBE was carried out for a relaxed Ac4Si3Pd crystal.

As for the total magnetic moment: 0.00 μB per formula unit. The formation energy without anion corrections is -0.611 eV/atom.

The structure belongs to space group Pmm2 (No. 25); the cell edges are 4.224, 4.623 and 11.796 Å and the angles 90.00°, 90.00° and 90.00°. Symmetry generates all atoms from Ac at (0.000, 0.000, 0.000), Ac at (0.000, 0.500, 0.496), Ac at (0.500, 0.000, 0.279), Ac at (0.500, 0.500, 0.779), Si at (0.000, 0.000, 0.702), Si at (0.000, 0.500, 0.204), Si at (0.500, 0.000, 0.575) and Pd at (0.500, 0.500, 0.077).

=====

A plane-wave DFT calculation with PBE was carried out for a relaxed AcSi4Pd2 crystal.

As for the total magnetic moment: 0.00 μB per formula unit. The formation energy without anion corrections is -0.504 eV/atom.

The structure belongs to space group Immm (No. 71); the cell edges are 5.872, 7.050 and 7.100 Å and the angles 90.00°, 90.00° and 90.00°. Symmetry generates all atoms from Ac at (0.000, 0.000, 0.000), Si at (0.000, 0.265, 0.500), Si at (0.000, 0.500, 0.265) and Pd at (0.249, 0.500, 0.000).

=====

A plane-wave DFT calculation with PBE was carried out for a relaxed Ac3Si2Pd3 crystal.

As for the total magnetic moment: 0.00 μB per formula unit. The formation energy without anion corrections is -0.776 eV/atom.

The structure belongs to space group Cmcm (No. 63); the cell edges are 4.372, 11.563 and 15.760 Å and the angles 90.00°, 90.00° and 90.00°. Symmetry generates all atoms from Ac at (0.000, 0.075, 0.108), Ac at (0.000, 0.363, 0.250), Si at (0.000, 0.204, 0.604), Pd at (0.000, 0.327, 0.032) and Pd at (0.000, 0.337, 0.750).

=====

A plane-wave DFT calculation with PBE was carried out for a relaxed Ac2SiPd crystal.

As for the total magnetic moment: 0.00 μB per formula unit. The formation energy without anion corrections is -0.545 eV/atom.

The structure belongs to space group P4/mmm (No. 123); the cell edges are 3.798, 3.798 and 7.784 Å and the angles 90.00°, 90.00° and 90.00°. Symmetry generates all atoms from Ac at (0.000, 0.000, 0.249), Si at (0.500, 0.500, 0.500) and Pd at (0.500, 0.500, 0.000).

=====

A plane-wave DFT calculation with PBE was carried out for a relaxed Ac2Si2Pd crystal.

As for the total magnetic moment: 0.00 μB per formula unit. The formation energy without anion corrections is -0.637 eV/atom.

The structure belongs to space group Amm2 (No. 38); the cell edges are 4.392, 4.305 and 13.354 Å and the angles 90.00°, 90.00° and 90.00°. Symmetry generates all atoms from Ac at (0.000, 0.000, 0.000), Ac at (0.000, 0.000, 0.249), Si at (0.500, 0.000, 0.429), Si at (0.500, 0.000, 0.619) and Pd at (0.500, 0.000, 0.822).